SrLi2Cd2 | Alexandria via LeMat-Bulk | PBE | relaxed; offset from the most stable computed form = 5.5 kJ per mole of atoms; DFT total energy = -1.62 eV/atom; space group = No. 65; calculated formation energy = -149 meV/atom
1.0
4.380 0.145 0.001
-1.252 4.200 0.001
0.000 0.000 6.942
Cd Li Sr
2 2 1
Cartesian
1.564 2.173 5.030
1.563 2.172 1.915
3.368 0.874 3.472
-0.240 3.471 3.472
3.128 4.345 0.002

InRh2Pb | Alexandria via LeMat-Bulk | PBE | relaxed; DFT total energy = -5.41 eV/atom; space group = No. 123; calculated formation energy = -124 meV/atom
1.0
-1.648 -4.459 -0.262
0.950 -0.078 -4.664
2.929 -1.119 0.615
Pb Rh In
1 2 1
Cartesian
0.000 0.000 0.000
1.940 -0.598 -2.025
0.640 -2.789 0.177
-0.349 -2.268 -2.463

ThNpSb2 | Alexandria via LeMat-Bulk | PBE | relaxed; offset from the most stable computed form = 9.7 kJ per mole of atoms; DFT total energy = -7.62 eV/atom; formation energy without anion corrections = -470.7 meV per atom; space group = No. 123
1.0
-0.473 -1.376 3.490
-3.456 -1.208 -0.945
2.973 -6.743 -2.256
Sb Np Th
2 1 1
Cartesian
2.209 -5.010 -1.676
0.764 -1.733 -0.580
-0.478 -4.663 0.144
-1.964 -1.292 1.272

Sr2InAs | Alexandria via LeMat-Bulk | PBE | relaxed; offset from the most stable computed form = 2.1 kJ per mole of atoms; DFT total energy = -3.39 eV/atom; space group = No. 123; calculated formation energy = -699 meV/atom
1.0
-4.047 -0.199 0.094
0.104 -0.174 4.048
-0.355 7.377 0.326
Sr In As
2 1 1
Cartesian
-0.167 3.469 0.153
-0.011 0.220 0.010
-2.238 5.346 2.316
-2.060 1.658 2.153

TiMn4Fe | Alexandria via LeMat-Bulk | PBE | relaxed; DFT total energy = -8.86 eV/atom; space group = No. 216; calculated formation energy = -21 meV/atom
1.0
-3.911 -2.476 -0.629
0.156 -4.669 0.060
-1.875 -2.354 3.574
Mn Fe Ti
4 1 1
Cartesian
-1.556 -4.698 2.196
-3.601 -3.596 1.850
-2.581 -4.759 0.084
-3.523 -5.943 1.880
0.000 0.000 0.000
-1.408 -2.374 0.751

PmMgGa2Pt5 | Alexandria via LeMat-Bulk | PBE | relaxed; DFT total energy = -5.45 eV/atom; space group = No. 123; calculated formation energy = -719 meV/atom
1.0
-0.518 -3.838 1.511
4.107 -0.339 0.546
-0.868 3.553 8.731
Pm Pt Mg Ga
1 5 1 2
Cartesian
-0.434 1.777 4.366
-0.892 0.674 7.127
1.361 -0.312 5.394
1.420 2.423 6.644
1.819 0.791 2.633
-0.493 -0.959 3.115
0.000 0.000 0.000
1.037 1.012 8.648
1.684 -1.636 2.140